# 1
{"formula": "LiThZnRu", "functional": "PBE", "state": "optimized geometry", "lattice": [[-1.461, 4.348, 1.099], [-3.010, 2.265, -2.839], [-4.455, 0.714, 1.374]], "species": ["Li", "Zn", "Ru", "Th"], "fractional_positions": [[0.250, 0.250, 0.250], [0.000, 0.000, 0.000], [0.750, 0.750, 0.750], [0.500, 0.500, 0.500]], "energy_ev_per_fu": -20.48, "sg": "F-43m, No. 216"}



# 2
{"formula": "Ce3P4Pd7", "functional": "PBE", "state": "optimized geometry", "lattice": [[3.944, 0.000, 0.995], [1.447, 7.451, 2.579], [0.009, 0.004, 8.277]], "species": ["Pd", "Pd", "Pd", "Pd", "Pd", "Pd", "Pd", "Ce", "Ce", "Ce", "P", "P", "P", "P"], "fractional_positions": [[0.833, 0.406, 0.928], [0.690, 0.145, 0.474], [0.510, 0.770, 0.210], [0.490, 0.230, 0.790], [0.310, 0.855, 0.526], [0.000, 0.000, 0.000], [0.167, 0.594, 0.072], [0.000, 0.500, 0.500], [0.684, 0.815, 0.818], [0.316, 0.185, 0.182], [0.107, 0.109, 0.677], [0.657, 0.439, 0.247], [0.893, 0.891, 0.323], [0.343, 0.561, 0.753]], "energy_ev_per_fu": -89.31, "sg": "C2/m, No. 12"}



# 3
{"formula": "PbAuCl4", "functional": "PBE", "state": "optimized geometry", "lattice": [[-4.353, 4.227, -1.456], [-6.041, -5.977, 0.711], [1.225, 3.460, 6.384]], "species": ["Cl", "Cl", "Cl", "Cl", "Cl", "Cl", "Cl", "Cl", "Au", "Au", "Pb", "Pb"], "fractional_positions": [[0.693, 0.661, 0.319], [0.226, 0.864, 0.162], [0.193, 0.839, 0.681], [0.774, 0.136, 0.838], [0.807, 0.161, 0.319], [0.726, 0.636, 0.838], [0.307, 0.339, 0.681], [0.274, 0.364, 0.162], [0.500, 0.500, 0.000], [0.000, 0.000, 0.000], [0.500, 0.000, 0.500], [0.000, 0.500, 0.500]], "energy_ev_per_fu": -18.16, "raw_formation_energy_ev_per_atom": -0.63, "sg": "P2_1/c, No. 14"}



# 4
{"formula": "H2Pd2Pt", "functional": "PBE", "state": "optimized geometry", "lattice": [[2.797, -0.011, 0.837], [1.523, 7.471, -0.211], [0.086, -0.604, 5.082]], "species": ["Pd", "Pd", "Pd", "Pd", "H", "H", "H", "H", "Pt", "Pt"], "fractional_positions": [[0.916, 0.919, 0.746], [0.417, 0.419, 0.247], [0.084, 0.081, 0.254], [0.583, 0.581, 0.753], [0.303, 0.681, 0.512], [0.516, 0.180, 0.000], [0.484, 0.820, 0.000], [0.697, 0.319, 0.488], [0.252, 0.250, 0.751], [0.748, 0.750, 0.249]], "energy_ev_per_fu": -23.25, "e_above_lowest_polymorph_mev_per_atom": 9, "sg": "P-1, No. 2"}



# 5
{"formula": "LaScIn2", "functional": "PBE", "state": "optimized geometry", "lattice": [[-2.148, 4.168, 2.543], [-5.257, 0.162, 0.888], [-1.887, -0.583, 4.955]], "species": ["La", "In", "In", "Sc"], "fractional_positions": [[0.500, 0.500, 0.500], [0.000, 0.000, 0.000], [0.250, 0.250, 0.250], [0.750, 0.750, 0.750]], "energy_ev_per_fu": -16.96, "sg": "F-43m, No. 216"}



# 6
{"formula": "PrYTm2S6", "functional": "PBE", "state": "optimized geometry", "lattice": [[-1.416, 4.271, -5.299], [-6.095, 3.336, -0.243], [-0.061, 7.228, 1.282]], "species": ["Y", "S", "S", "S", "S", "S", "S", "Pr", "Tm", "Tm"], "fractional_positions": [[0.315, 0.315, 0.055], [0.388, 0.726, 0.746], [0.907, 0.620, 0.245], [0.620, 0.228, 0.245], [0.726, 0.140, 0.746], [0.140, 0.388, 0.746], [0.228, 0.907, 0.245], [0.808, 0.808, 0.577], [0.517, 0.517, 0.449], [0.013, 0.013, 0.961]], "energy_ev_per_fu": -65.41, "raw_formation_energy_ev_per_atom": -2.05, "sg": "R3, No. 146"}